(1)
Entry from the Alexandria database: an optimized crystal structure of CuNiOs2 (PBE).

The value obtained for the relative energy among the computed polymorphs is 236.5 meV/atom. The total magnetic moment comes out at 2.63 Bohr magnetons per cell.

The space group is F-43m (No. 216) and the conventional cell measures 5.960, 5.960 and 5.960 Å, with angles of 90.00, 90.00 and 90.00 degrees. The inequivalent atoms are Cu at (0.000, 0.000, 0.000), Ni at (0.250, 0.250, 0.250), Os at (0.000, 0.000, 0.500) and Os at (0.250, 0.250, 0.750).

(2)
Entry from the Alexandria database: an optimized crystal structure of CuNiOs2 (PBE).

The value obtained for the relative energy among the computed polymorphs is 239.1 meV/atom. The total magnetic moment comes out at 0.00 Bohr magnetons per cell.

The space group is Cmmm (No. 65) and the conventional cell measures 5.162, 7.686 and 2.634 Å, with angles of 90.00, 90.00 and 90.00 degrees. The inequivalent atoms are Cu at (0.000, 0.000, 0.000), Ni at (0.000, 0.500, 0.000) and Os at (0.250, 0.250, 0.500).

(3)
Entry from the Alexandria database: an optimized crystal structure of CuNiOs2 (PBE).

The value obtained for the relative energy among the computed polymorphs is 70.8 meV/atom. The total magnetic moment comes out at 0.92 Bohr magnetons per cell.

The space group is R-3m (No. 166, hexagonal axes) and the conventional cell measures 2.6594, 2.6594 and 25.7555 Å, with angles of 90.00, 90.00 and 120.00 degrees. The inequivalent atoms are Cu at (0.0000, 0.0000, 0.0000), Ni at (0.0000, 0.0000, 0.5000) and Os at (0.0000, 0.0000, 0.2479).

Number 1: energy of formation 38.9 kJ per mole of atoms, density of states at the Fermi level 22.79 states/eV/cell. Number 2: energy of formation 39.2 kJ per mole of atoms, density of states at the Fermi level 10.47 states/eV/cell. Number 3: energy of formation 22.9 kJ per mole of atoms, density of states at the Fermi level 9.36 states/eV/cell.